Below is an optimized crystal structure of V12Ge6Pd, with properties calculated at the PBE level.

- Fermi-level density of states (states/eV per cell) = 15.17
- symmetry = No. 148
- density (g cm⁻³) = 6.78
- total magnetization (μB per formula unit) = 0.0
- E_form (eV/f.u.) = -0.7

```
data_V12Ge6Pd
_cell_length_a 7.018
_cell_length_b 7.018
_cell_length_c 7.018
_cell_angle_alpha 107.66
_cell_angle_beta 107.66
_cell_angle_gamma 107.66
_space_group_name_H-M_alt 'P 1'
_space_group_IT_number 1
_space_group_name_Hall 'P 1'
loop_
_atom_site_label
_atom_site_type_symbol
_atom_site_fract_x
_atom_site_fract_y
_atom_site_fract_z
V1 V 0.073 0.199 0.489
V2 V 0.168 0.612 0.458
V3 V 0.199 0.489 0.073
V4 V 0.388 0.542 0.832
V5 V 0.458 0.168 0.612
V6 V 0.489 0.073 0.199
V7 V 0.511 0.927 0.801
V8 V 0.542 0.832 0.388
V9 V 0.612 0.458 0.168
V10 V 0.801 0.511 0.927
V11 V 0.832 0.388 0.542
V12 V 0.927 0.801 0.511
Ge1 Ge 0.141 0.741 0.849
Ge2 Ge 0.151 0.859 0.259
Ge3 Ge 0.259 0.151 0.859
Ge4 Ge 0.741 0.849 0.141
Ge5 Ge 0.849 0.141 0.741
Ge6 Ge 0.859 0.259 0.151
Pd1 Pd 0.500 0.500 0.500
```